# 1
! LaEr2Tm | Alexandria | PBE | relaxed; values from VASP
&SYSTEM
  ibrav = 0, nat = 4, ntyp = 3
/
ATOMIC_SPECIES
La 138.91 La.upf
Er 167.26 Er.upf
Tm 168.93 Tm.upf
CELL_PARAMETERS angstrom
3.5671 0.0000 0.0000
1.7836 3.0892 0.0000
1.7836 1.0297 11.5755
ATOMIC_POSITIONS crystal
La 0.0000 0.0000 0.0000
Er 0.2476 0.2476 0.2571
Er 0.7524 0.7524 0.7429
Tm 0.5000 0.5000 0.5000
! Formation energy from the elements = 0.029 eV per atom
! Energy relative to the lowest polymorph listed for this composition = 19 meV/atom

***

# 2
! LaEr2Tm | Alexandria | PBE | relaxed; values from VASP
&SYSTEM
  ibrav = 0, nat = 4, ntyp = 3
/
ATOMIC_SPECIES
Er 167.26 Er.upf
Tm 168.93 Tm.upf
La 138.91 La.upf
CELL_PARAMETERS angstrom
-1.9069 1.8074 -2.5412
-5.3922 -3.8257 -1.3015
-6.1298 0.9369 2.6376
ATOMIC_POSITIONS crystal
Er 0.0040 0.0747 0.9168
Er 0.4960 0.5832 0.4253
Tm 0.7500 0.6674 0.8326
La 0.2500 0.1747 0.3253
! Formation energy from the elements = 0.025 eV per atom
! Energy relative to the lowest polymorph listed for this composition = 16 meV/atom

***

# 3
! LaEr3Tm3 | Alexandria | PBE | relaxed; values from VASP
&SYSTEM
  ibrav = 0, nat = 28, ntyp = 3
/
ATOMIC_SPECIES
Er 167.26 Er.upf
Tm 168.93 Tm.upf
La 138.91 La.upf
CELL_PARAMETERS angstrom
-6.1275 6.1275 6.1275
6.1275 -6.1275 6.1275
6.1275 6.1275 -6.1275
ATOMIC_POSITIONS crystal
Er 0.0000 0.5686 0.3017
Er 0.5686 0.3017 0.0000
Er 0.4314 0.4314 0.7332
Er 0.7332 0.4314 0.4314
Er 0.6983 0.2668 0.6983
Er 0.3017 0.5686 0.0000
Er 0.6983 0.6983 0.2668
Er 0.5686 0.0000 0.3017
Er 0.3017 0.0000 0.5686
Er 0.0000 0.3017 0.5686
Er 0.2668 0.6983 0.6983
Er 0.4314 0.7332 0.4314
Tm 0.6106 0.8058 0.0000
Tm 0.6106 0.0000 0.8058
Tm 0.0000 0.6106 0.8058
Tm 0.1942 0.8048 0.1942
Tm 0.8058 0.6106 0.0000
Tm 0.1952 0.3894 0.3894
Tm 0.3894 0.3894 0.1952
Tm 0.1942 0.1942 0.8048
Tm 0.3894 0.1952 0.3894
Tm 0.8058 0.0000 0.6106
Tm 0.0000 0.8058 0.6106
Tm 0.8048 0.1942 0.1942
La 0.0000 0.2586 0.0000
La 0.0000 0.0000 0.2586
La 0.7414 0.7414 0.7414
La 0.2586 0.0000 0.0000
! Formation energy from the elements = 0.235 eV per atom
! Energy relative to the lowest polymorph listed for this composition = 220 meV/atom